# 1
Here is a relaxed SnTeP2O8 crystal from Alexandria. Energies are from PBE.

Its space group is No. 148. The calculation puts the energy relative to the elements, uncorrected at -1670 meV/atom. As for the total moment: 0.00 μB per formula unit.

abc: 8.047 8.047 8.047
angles: 35.71 35.71 35.71
Sites, in units of the cell vectors:
Sn: 0.000 0.000 0.000
Te: 0.500 0.500 0.500
P: 0.249 0.249 0.249
P: 0.751 0.751 0.751
O: 0.074 0.773 0.476
O: 0.227 0.524 0.926
O: 0.317 0.317 0.317
O: 0.476 0.074 0.773
O: 0.524 0.926 0.227
O: 0.683 0.683 0.683
O: 0.773 0.476 0.074
O: 0.926 0.227 0.524

---

# 2
Here is a relaxed TiSnP2O crystal from Alexandria. Energies are from PBE.

Its space group is No. 123. The calculation puts the energy relative to the elements, uncorrected at -625 meV/atom. As for the total moment: 0.00 μB per formula unit.

abc: 4.950 4.950 3.732
angles: 90.00 90.00 90.00
Sites, in units of the cell vectors:
Ti: 0.000 0.000 0.000
Sn: 0.500 0.500 0.500
P: 0.000 0.500 0.000
P: 0.500 0.000 0.000
O: 0.000 0.000 0.500

---

# 3
Here is a relaxed TiSnPO2 crystal from Alexandria. Energies are from PBE.

Its space group is No. 123. The calculation puts the energy relative to the elements, uncorrected at -510 meV/atom. As for the total moment: 0.96 μB per formula unit.

abc: 3.902 3.902 5.446
angles: 90.00 90.00 90.00
Sites, in units of the cell vectors:
Ti: 0.000 0.000 0.000
Sn: 0.500 0.500 0.500
P: 0.500 0.500 0.000
O: 0.000 0.500 0.500
O: 0.500 0.000 0.500

---

# 4
Here is a relaxed Ti2SnP3O12 crystal from Alexandria. Energies are from PBE.

Its space group is No. 167. The calculation puts the energy relative to the elements, uncorrected at -2388 meV/atom. As for the total moment: 1.01 μB per formula unit.

abc: 9.049 9.049 9.049
angles: 57.26 57.26 57.26
Sites, in units of the cell vectors:
Ti: 0.149 0.149 0.149
Ti: 0.351 0.351 0.351
Ti: 0.649 0.649 0.649
Ti: 0.851 0.851 0.851
Sn: 0.000 0.000 0.000
Sn: 0.500 0.500 0.500
P: 0.038 0.750 0.462
P: 0.250 0.538 0.962
P: 0.462 0.038 0.750
P: 0.538 0.962 0.250
P: 0.750 0.462 0.038
P: 0.962 0.250 0.538
O: 0.007 0.783 0.628
O: 0.063 0.923 0.280
O: 0.077 0.720 0.937
O: 0.128 0.283 0.507
O: 0.217 0.372 0.993
O: 0.220 0.577 0.437
O: 0.280 0.063 0.923
O: 0.283 0.507 0.128
O: 0.372 0.993 0.217
O: 0.423 0.563 0.780
O: 0.437 0.220 0.577
O: 0.493 0.872 0.717
O: 0.507 0.128 0.283
O: 0.563 0.780 0.423
O: 0.577 0.437 0.220
O: 0.628 0.007 0.783
O: 0.717 0.493 0.872
O: 0.720 0.937 0.077
O: 0.780 0.423 0.563
O: 0.783 0.628 0.007
O: 0.872 0.717 0.493
O: 0.923 0.280 0.063
O: 0.937 0.077 0.720
O: 0.993 0.217 0.372